A plane-wave DFT calculation with PBE was carried out for crystalline ErSeF at its relaxed geometry.

Computed properties:
M_tot   0.0 μB per formula unit
Uncorrected formation energy   -2.586 eV/atom
Total DFT energy (no corrections)   -5.89 eV/atom

Cell lengths 4.0430, 4.0430, 21.4213 Å; angles 90.00, 90.00, 90.00 degrees
Last column: nearest neighbours and their distance in Å.
Space group I4/mmm (No. 139)
One atom of each set of equivalent atoms:
Er: 0.0000 0.0000 0.1655 x4  1 F 1.94
Se: 0.0000 0.0000 0.3117 x4  5 Er 2.90-3.13
F: 0.0000 0.0000 0.0750 x4  1 Er 1.94